A.
The following is a DFT calculation (GGA-PBE) of crystalline Tl2Ga2Sb at its relaxed geometry.

Cell lengths 8.963, 8.963, 3.287 Å; angles 90.00, 90.00, 90.00 degrees
Fractional coordinates of all 10 atoms:
1 Sb 0.000 0.000 0.000
2 Sb 0.500 0.500 0.000
3 Tl 0.314 0.814 0.000
4 Tl 0.814 0.686 0.000
5 Tl 0.686 0.186 0.000
6 Tl 0.186 0.314 0.000
7 Ga 0.111 0.611 0.500
8 Ga 0.611 0.889 0.500
9 Ga 0.889 0.389 0.500
10 Ga 0.389 0.111 0.500

## Properties
magnetic moment = 0.000 μB/atom


B.
The following is a DFT calculation (GGA-PBE) of crystalline Tl2Ga2Sb at its relaxed geometry.

Cell lengths 7.345, 7.345, 5.038 Å; angles 90.00, 90.00, 90.00 degrees
Fractional coordinates of all 10 atoms:
1 Sb 0.000 0.000 0.000
2 Sb 0.500 0.500 0.000
3 Tl 0.178 0.678 0.500
4 Tl 0.678 0.822 0.500
5 Tl 0.822 0.322 0.500
6 Tl 0.322 0.178 0.500
7 Ga 0.373 0.873 0.000
8 Ga 0.873 0.627 0.000
9 Ga 0.627 0.127 0.000
10 Ga 0.127 0.373 0.000

## Properties
magnetic moment = 0.000 μB/atom


C.
The following is a DFT calculation (GGA-PBE) of crystalline Tl2Ga2Sb at its relaxed geometry.

Cell lengths 4.575, 4.575, 7.309 Å; angles 71.76, 71.76, 90.00 degrees
Fractional coordinates of all 5 atoms:
1 Sb 0.000 0.000 0.000
2 Tl 0.750 0.250 0.500
3 Tl 0.250 0.750 0.500
4 Ga 0.406 0.406 0.188
5 Ga 0.594 0.594 0.812

## Properties
magnetic moment = 0.000 μB/atom


Most stable structure among those shown: B.